Rb2Ca3TmF12: relaxed, PBE-GGA.

Values from the calculation:
electronic total energy = -5.38 eV/atom
volume = 386.3 Å³/cell
space group = R-3m, No. 166
ΔE_f (raw) = -3.44 eV per atom

```
Rb2Ca3TmF12
1.0
4.0402 2.3326 6.8308
-4.0402 2.3326 6.8308
0.0000 -4.6653 6.8308
Rb Ca Tm F
2 3 1 12
Direct
0.0996 0.0996 0.0996
0.9004 0.9004 0.9004
0.0000 0.5000 0.5000
0.5000 0.0000 0.5000
0.5000 0.5000 0.0000
0.5000 0.5000 0.5000
0.1614 0.1614 0.5906
0.1614 0.5906 0.1614
0.1905 0.5638 0.5638
0.4094 0.8386 0.8386
0.4362 0.4362 0.8095
0.4362 0.8095 0.4362
0.5638 0.1905 0.5638
0.5638 0.5638 0.1905
0.5906 0.1614 0.1614
0.8095 0.4362 0.4362
0.8386 0.4094 0.8386
0.8386 0.8386 0.4094
```

=====

PrSnBi: relaxed, PBE-GGA.

Values from the calculation:
electronic total energy = -4.65 eV/atom
volume = 419.7 Å³/cell
space group = Cmce, No. 64

```
PrSnBi
1.0
4.5391 -6.5846 0.0000
4.5391 6.5846 0.0000
0.0000 0.0000 7.0216
Pr Sn Bi
4 4 4
Direct
0.1246 0.8754 0.7719
0.3754 0.6246 0.2719
0.6246 0.3754 0.7281
0.8754 0.1246 0.2281
0.1325 0.8675 0.2646
0.3675 0.6325 0.7646
0.6325 0.3675 0.2354
0.8675 0.1325 0.7354
0.2389 0.2389 0.5000
0.2611 0.2611 0.0000
0.7389 0.7389 0.0000
0.7611 0.7611 0.5000
```

=====

KHg2RhF8: relaxed, PBE-GGA.

Values from the calculation:
electronic total energy = -3.69 eV/atom
volume = 185.9 Å³/cell
space group = P2/m, No. 10
ΔE_f (raw) = -1.69 eV per atom

```
KHg2RhF8
1.0
4.5210 0.0000 0.0000
0.0000 7.5564 0.0000
-1.5435 0.0000 5.4420
K Hg Rh F
1 2 1 8
Direct
0.0000 0.0000 0.0000
0.5000 0.2500 0.5000
0.5000 0.7500 0.5000
0.0000 0.5000 0.0000
0.0289 0.3056 0.7648
0.0289 0.6944 0.7648
0.4279 0.0000 0.7166
0.4310 0.5000 0.2183
0.5690 0.5000 0.7817
0.5721 0.0000 0.2834
0.9711 0.3056 0.2352
0.9711 0.6944 0.2352
```

=====

Sc2MnPtN: relaxed, PBE-GGA.

Values from the calculation:
electronic total energy = -8.32 eV/atom
volume = 72.6 Å³/cell
space group = P4/mmm, No. 123
ΔE_f (raw) = -1.08 eV per atom

```
Sc2MnPtN
1.0
4.4871 0.0000 0.0000
0.0000 4.4871 0.0000
0.0000 0.0000 3.6047
Sc Mn Pt N
2 1 1 1
Direct
0.0000 0.5000 0.0000
0.5000 0.0000 0.0000
0.0000 0.0000 0.5000
0.5000 0.5000 0.5000
0.0000 0.0000 0.0000
```

=====

Ti2CrCo2: relaxed, PBE-GGA.

Values from the calculation:
electronic total energy = -7.90 eV/atom
volume = 131.6 Å³/cell
space group = P4/mbm, No. 127

```
Ti2CrCo2
1.0
6.9472 0.0000 0.0000
0.0000 6.9472 0.0000
0.0000 0.0000 2.7273
Ti Cr Co
4 2 4
Direct
0.1573 0.3427 0.0000
0.3427 0.8427 0.0000
0.6573 0.1573 0.0000
0.8427 0.6573 0.0000
0.0000 0.0000 0.0000
0.5000 0.5000 0.0000
0.1443 0.6443 0.5000
0.3557 0.1443 0.5000
0.6443 0.8557 0.5000
0.8557 0.3557 0.5000
```

=====

TeRu2: relaxed, PBE-GGA.

Values from the calculation:
electronic total energy = -6.77 eV/atom
volume = 100.2 Å³/cell
space group = Cmcm, No. 63
ΔE_f (raw) = 0.46 eV per atom

```
TeRu2
1.0
1.5300 -7.8306 0.0000
1.5300 7.8306 0.0000
0.0000 0.0000 4.1806
Te Ru
2 4
Direct
0.1109 0.8891 0.7500
0.8891 0.1109 0.2500
0.2177 0.7823 0.2500
0.4355 0.5645 0.7500
0.5645 0.4355 0.2500
0.7823 0.2177 0.7500
```

=====

RePCl6O3: relaxed, PBE-GGA.

Values from the calculation:
electronic total energy = -5.01 eV/atom
volume = 1245.2 Å³/cell
space group = P2_1/c, No. 14
ΔE_f (raw) = -1.03 eV per atom

```
RePCl6O3
1.0
6.7427 0.0000 0.0000
0.0000 13.0067 0.0000
-2.2756 0.0000 14.1985
Re P Cl O
4 4 24 12
Direct
0.1247 0.2123 0.0058
0.1247 0.2877 0.5058
0.8753 0.7123 0.4942
0.8753 0.7877 0.9942
0.4016 0.0958 0.6759
0.4016 0.4042 0.1759
0.5984 0.5958 0.8241
0.5984 0.9042 0.3241
0.0554 0.1838 0.1615
0.0554 0.3162 0.6615
0.1285 0.6661 0.0011
0.1285 0.8339 0.5011
0.1948 0.0365 0.7453
0.1948 0.4635 0.2453
0.4172 0.1234 0.0570
0.4172 0.3766 0.5570
0.4259 0.0222 0.3481
0.4259 0.4778 0.8481
0.4265 0.6845 0.7312
0.4265 0.8155 0.2312
0.5735 0.1845 0.7688
0.5735 0.3155 0.2688
0.5741 0.5222 0.1519
0.5741 0.9778 0.6519
0.5828 0.6234 0.4430
0.5828 0.8766 0.9430
0.8052 0.5365 0.7547
0.8052 0.9635 0.2547
0.8715 0.1661 0.4989
0.8715 0.3339 0.9989
0.9446 0.6838 0.3385
0.9446 0.8162 0.8385
0.0147 0.6137 0.5492
0.0147 0.8863 0.0492
0.2225 0.2289 0.4153
0.2225 0.2711 0.9153
0.3174 0.1490 0.5872
0.3174 0.3510 0.0872
0.6826 0.6490 0.9128
0.6826 0.8510 0.4128
0.7775 0.7289 0.0847
0.7775 0.7711 0.5847
0.9853 0.1137 0.9508
0.9853 0.3863 0.4508
```

=====

Pm4CuSe5: relaxed, PBE-GGA.

Values from the calculation:
electronic total energy = -5.57 eV/atom
volume = 248.8 Å³/cell
space group = R-3m, No. 166
ΔE_f (raw) = -1.52 eV per atom

```
Pm4CuSe5
1.0
2.0822 1.2022 16.5628
-2.0822 1.2022 16.5628
0.0000 -2.4043 16.5628
Pm Cu Se
4 1 5
Direct
0.1050 0.1050 0.1050
0.2982 0.2982 0.2982
0.7018 0.7018 0.7018
0.8950 0.8950 0.8950
0.5000 0.5000 0.5000
0.0000 0.0000 0.0000
0.1942 0.1942 0.1942
0.4034 0.4034 0.4034
0.5966 0.5966 0.5966
0.8058 0.8058 0.8058
```

=====

- Which formula does entry 5 have?
  Ti2CrCo2